Entry 1:
Compound: CoWAu2
Source: Alexandria
Functional: PBE-GGA
Structure: relaxed

a = 9.238 Å, b = 9.238 Å, c = 9.238 Å
α = 17.70°, β = 17.70°, γ = 17.70°
Element x y z (fractional)
Au1 0.504 0.504 0.504
Au2 0.996 0.996 0.996
Co1 0.250 0.250 0.250
W1 0.750 0.750 0.750

Properties
E_form in meV/atom: 424
Magnetic moment in Bohr magnetons per cell: 1.68
DFT total energy in eV/f.u.: -24.92
Volume in Å³/f.u.: 63.6

Entry 2:
Compound: BaAc3Co
Source: Alexandria
Functional: PBE-GGA
Structure: relaxed

a = 7.262 Å, b = 7.262 Å, c = 11.048 Å
α = 70.81°, β = 70.81°, γ = 60.00°
Element x y z (fractional)
Ac1 0.106 0.444 0.656
Ac2 0.205 0.894 0.344
Ac3 0.894 0.556 0.344
Ac4 0.556 0.205 0.344
Ac5 0.795 0.106 0.656
Ac6 0.444 0.795 0.656
Co1 0.167 0.167 0.500
Co2 0.833 0.833 0.500
Ba1 0.335 0.335 0.996
Ba2 0.665 0.665 0.004

Properties
E_form in meV/atom: 73
Magnetic moment in Bohr magnetons per cell: 0.00
DFT total energy in eV/f.u.: -20.99
Volume in Å³/f.u.: 233.4

Entry 3:
Compound: La6NiRu2
Source: Alexandria
Functional: PBE-GGA
Structure: relaxed

a = 4.223 Å, b = 7.862 Å, c = 8.896 Å
α = 97.20°, β = 103.73°, γ = 90.00°
Element x y z (fractional)
La1 0.334 0.912 0.668
La2 0.995 0.753 0.991
La3 0.005 0.247 0.009
La4 0.668 0.575 0.335
La5 0.666 0.088 0.332
La6 0.332 0.425 0.665
Ru1 0.163 0.325 0.325
Ru2 0.837 0.675 0.675
Ni1 0.500 0.000 0.000

Properties
E_form in meV/atom: -251
Magnetic moment in Bohr magnetons per cell: 0.00
DFT total energy in eV/f.u.: -56.16
Volume in Å³/f.u.: 284.5

Entry 4:
Compound: CsCdO3
Source: Alexandria
Functional: PBE-GGA
Structure: relaxed

a = 4.423 Å, b = 4.423 Å, c = 4.423 Å
α = 90.00°, β = 90.00°, γ = 90.00°
Element x y z (fractional)
Cs1 0.000 0.000 0.000
O1 0.000 0.000 0.500
O2 0.000 0.500 0.000
O3 0.500 0.000 0.000
Cd1 0.500 0.500 0.500

Properties
Magnetic moment in Bohr magnetons per cell: 0.00
DFT total energy in eV/f.u.: -13.80
Volume in Å³/f.u.: 86.5

Entry 5:
Compound: Sm3SbH
Source: Alexandria
Functional: PBE-GGA
Structure: relaxed

a = 4.364 Å, b = 7.910 Å, c = 7.818 Å
α = 90.00°, β = 73.75°, γ = 90.00°
Element x y z (fractional)
Sm1 0.254 0.908 0.211
Sm2 0.963 0.884 0.793
Sm3 0.608 0.706 0.503
Sm4 0.417 0.206 0.883
Sm5 0.772 0.408 0.174
Sm6 0.063 0.384 0.593
Sb1 0.623 0.097 0.473
Sb2 0.403 0.597 0.912
H1 0.076 0.684 0.567
H2 0.950 0.184 0.818

Properties
Magnetic moment in Bohr magnetons per cell: 0.00
DFT total energy in eV/f.u.: -24.11
Volume in Å³/f.u.: 129.5

Entry 6:
Compound: UNb2In2S6
Source: Alexandria
Functional: PBE-GGA
Structure: relaxed

a = 6.073 Å, b = 6.073 Å, c = 8.074 Å
α = 96.65°, β = 96.65°, γ = 118.06°
Element x y z (fractional)
S1 0.944 0.595 0.307
S2 0.727 0.727 0.708
S3 0.595 0.944 0.307
S4 0.273 0.273 0.292
S5 0.056 0.405 0.693
S6 0.405 0.056 0.693
Nb1 0.352 0.648 0.500
Nb2 0.648 0.352 0.500
In1 0.170 0.830 0.000
In2 0.830 0.170 0.000
U1 0.000 0.000 0.500

Properties
Magnetic moment in Bohr magnetons per cell: 0.00
DFT total energy in eV/f.u.: -71.67
Volume in Å³/f.u.: 256.0

Entry 7:
Compound: AgRh
Source: Alexandria
Functional: PBE-GGA
Structure: relaxed

a = 5.646 Å, b = 5.646 Å, c = 6.507 Å
α = 75.99°, β = 75.99°, γ = 28.60°
Element x y z (fractional)
Ag1 0.661 0.661 0.669
Ag2 0.615 0.615 0.279
Ag3 0.003 0.003 0.000
Rh1 0.338 0.338 0.333
Rh2 0.925 0.925 0.610
Rh3 0.291 0.291 0.942

Properties
E_form in meV/atom: 249
Magnetic moment in Bohr magnetons per cell: 0.62
DFT total energy in eV/f.u.: -9.70
Volume in Å³/f.u.: 32.0

Entry 8:
Compound: AlCdBi2
Source: Alexandria
Functional: PBE-GGA
Structure: relaxed

a = 5.327 Å, b = 5.327 Å, c = 5.327 Å
α = 60.00°, β = 60.00°, γ = 60.00°
Element x y z (fractional)
Al1 0.000 0.000 0.000
Cd1 0.500 0.500 0.500
Bi1 0.250 0.250 0.250
Bi2 0.750 0.750 0.750

Properties
E_form in meV/atom: 210
Magnetic moment in Bohr magnetons per cell: 0.00
DFT total energy in eV/f.u.: -11.58
Volume in Å³/f.u.: 106.9

Entry 9:
Compound: Ac2Ga3PtAu4
Source: Alexandria
Functional: PBE-GGA
Structure: relaxed

a = 4.536 Å, b = 4.536 Å, c = 10.896 Å
α = 90.00°, β = 90.00°, γ = 90.00°
Element x y z (fractional)
Au1 0.500 0.500 0.000
Au2 0.000 0.500 0.357
Au3 0.000 0.000 0.000
Au4 0.500 0.000 0.643
Pt1 0.500 0.500 0.500
Ga1 0.000 0.500 0.123
Ga2 0.000 0.000 0.500
Ga3 0.500 0.000 0.877
Ac1 0.000 0.500 0.740
Ac2 0.500 0.000 0.260

Properties
E_form in meV/atom: -650
Magnetic moment in Bohr magnetons per cell: 0.00
DFT total energy in eV/f.u.: -42.95
Volume in Å³/f.u.: 224.2

Entry 10:
Compound: Rb5Np2F12
Source: Alexandria
Functional: PBE-GGA
Structure: relaxed

a = 6.891 Å, b = 8.162 Å, c = 8.162 Å
α = 61.22°, β = 81.91°, γ = 81.91°
Element x y z (fractional)
F1 0.199 0.153 0.559
F2 0.801 0.441 0.847
F3 0.827 0.475 0.475
F4 0.227 0.890 0.311
F5 0.773 0.110 0.689
F6 0.801 0.847 0.441
F7 0.855 0.066 0.066
F8 0.145 0.934 0.934
F9 0.227 0.311 0.890
F10 0.773 0.689 0.110
F11 0.199 0.559 0.153
F12 0.173 0.525 0.525
Rb1 0.982 0.761 0.761
Rb2 0.485 0.639 0.639
Rb3 0.515 0.361 0.361
Rb4 0.500 0.000 0.000
Rb5 0.018 0.239 0.239
Np1 0.000 0.747 0.253
Np2 0.000 0.253 0.747

Properties
Magnetic moment in Bohr magnetons per cell: 7.00
DFT total energy in eV/f.u.: -112.38
Volume in Å³/f.u.: 396.9

Entry 11:
Compound: KCdOs
Source: Alexandria
Functional: PBE-GGA
Structure: relaxed

a = 6.521 Å, b = 6.521 Å, c = 6.521 Å
α = 156.08°, β = 138.05°, γ = 48.87°
Element x y z (fractional)
Cd1 0.053 0.053 0.000
K1 0.331 0.331 0.000
Os1 0.616 0.616 0.000

Properties
E_form in meV/atom: 862
Magnetic moment in Bohr magnetons per cell: 0.00
DFT total energy in eV/f.u.: -10.66
Volume in Å³/f.u.: 74.9

Entry 12:
Compound: SmTi6Sn6
Source: Alexandria
Functional: PBE-GGA
Structure: relaxed

a = 5.778 Å, b = 7.477 Å, c = 7.477 Å
α = 80.56°, β = 67.27°, γ = 67.27°
Element x y z (fractional)
Ti1 0.500 0.500 0.000
Ti2 0.500 0.000 0.500
Ti3 0.000 0.000 0.500
Ti4 0.500 0.253 0.747
Ti5 0.500 0.747 0.253
Ti6 0.000 0.500 0.000
Sn1 0.000 0.680 0.320
Sn2 0.666 0.334 0.334
Sn3 0.663 0.837 0.837
Sn4 0.334 0.666 0.666
Sn5 0.337 0.163 0.163
Sn6 0.000 0.320 0.680
Sm1 0.000 0.000 0.000

Properties
E_form in meV/atom: -420
Magnetic moment in Bohr magnetons per cell: 2.10
DFT total energy in eV/f.u.: -81.57
Volume in Å³/f.u.: 274.8

Entry 13:
Compound: YMg2Rh
Source: Alexandria
Functional: PBE-GGA
Structure: relaxed

a = 4.863 Å, b = 4.863 Å, c = 4.863 Å
α = 119.60°, β = 119.60°, γ = 90.69°
Element x y z (fractional)
Y1 0.750 0.250 0.500
Mg1 0.000 0.000 0.000
Mg2 0.250 0.750 0.500
Rh1 0.500 0.500 0.000

Properties
E_form in meV/atom: -323
Magnetic moment in Bohr magnetons per cell: 0.00
DFT total energy in eV/f.u.: -18.30
Volume in Å³/f.u.: 81.8

Entry 14:
Compound: SrCaNd2
Source: Alexandria
Functional: PBE-GGA
Structure: relaxed

a = 6.092 Å, b = 6.092 Å, c = 6.092 Å
α = 60.00°, β = 60.00°, γ = 60.00°
Element x y z (fractional)
Sr1 0.000 0.000 0.000
Ca1 0.500 0.500 0.500
Nd1 0.750 0.750 0.750
Nd2 0.250 0.250 0.250

Properties
E_form in meV/atom: 184
Magnetic moment in Bohr magnetons per cell: 0.00
DFT total energy in eV/f.u.: -12.48
Volume in Å³/f.u.: 159.9

Entry 15:
Compound: MgBi3C
Source: Alexandria
Functional: PBE-GGA
Structure: relaxed

a = 5.051 Å, b = 5.051 Å, c = 5.051 Å
α = 90.00°, β = 90.00°, γ = 90.00°
Element x y z (fractional)
Bi1 0.500 0.000 0.000
Bi2 0.000 0.000 0.500
Bi3 0.000 0.500 0.000
Mg1 0.500 0.500 0.500
C1 0.000 0.000 0.000

Properties
E_form in meV/atom: 865
Magnetic moment in Bohr magnetons per cell: 0.00
DFT total energy in eV/f.u.: -18.14
Volume in Å³/f.u.: 128.8

Entry 16:
Compound: Li4Y3PuTe8
Source: Alexandria
Functional: PBE-GGA
Structure: relaxed

a = 8.720 Å, b = 8.667 Å, c = 8.720 Å
α = 120.20°, β = 120.00°, γ = 90.00°
Element x y z (fractional)
Pu1 0.000 0.500 0.000
Li1 0.500 0.000 0.500
Li2 0.000 0.000 0.500
Li3 0.000 0.000 0.000
Li4 0.500 0.000 0.000
Te1 0.746 0.243 0.492
Te2 0.248 0.244 0.496
Te3 0.752 0.756 0.504
Te4 0.749 0.757 0.003
Te5 0.254 0.757 0.508
Te6 0.746 0.243 0.997
Te7 0.254 0.757 0.003
Te8 0.251 0.243 0.997
Y1 0.500 0.500 0.500
Y2 0.500 0.500 0.000
Y3 0.000 0.500 0.500

Properties
Magnetic moment in Bohr magnetons per cell: 5.00
DFT total energy in eV/f.u.: -86.11
Volume in Å³/f.u.: 464.6

Entry 17:
Compound: Ti2NbTcN
Source: Alexandria
Functional: PBE-GGA
Structure: relaxed

a = 4.034 Å, b = 4.034 Å, c = 4.398 Å
α = 90.00°, β = 90.00°, γ = 90.00°
Element x y z (fractional)
Ti1 0.000 0.500 0.000
Ti2 0.500 0.000 0.000
Nb1 0.000 0.000 0.500
N1 0.000 0.000 0.000
Tc1 0.500 0.500 0.500

Properties
Magnetic moment in Bohr magnetons per cell: 0.00
DFT total energy in eV/f.u.: -47.85
Volume in Å³/f.u.: 71.6

Entry 18:
Compound: Rb4OF2
Source: Alexandria
Functional: PBE-GGA
Structure: relaxed

a = 4.173 Å, b = 7.142 Å, c = 12.231 Å
α = 90.00°, β = 90.00°, γ = 90.00°
Element x y z (fractional)
Rb1 0.500 0.744 0.037
Rb2 0.000 0.139 0.708
Rb3 0.500 0.244 0.463
Rb4 0.500 0.756 0.537
Rb5 0.000 0.861 0.292
Rb6 0.000 0.361 0.208
Rb7 0.500 0.256 0.963
Rb8 0.000 0.639 0.792
F1 0.500 0.078 0.183
F2 0.500 0.922 0.817
F3 0.500 0.422 0.683
F4 0.500 0.578 0.317
O1 0.000 0.000 0.500
O2 0.000 0.500 0.000

Properties
Magnetic moment in Bohr magnetons per cell: 0.24
DFT total energy in eV/f.u.: -25.94
Volume in Å³/f.u.: 182.2

Entry 19:
Compound: NdThAlAu
Source: Alexandria
Functional: PBE-GGA
Structure: relaxed

a = 5.295 Å, b = 5.295 Å, c = 5.295 Å
α = 60.00°, β = 60.00°, γ = 60.00°
Element x y z (fractional)
Au1 0.000 0.000 0.000
Th1 0.250 0.250 0.250
Nd1 0.750 0.750 0.750
Al1 0.500 0.500 0.500

Properties
E_form in meV/atom: -382
Magnetic moment in Bohr magnetons per cell: 0.84
DFT total energy in eV/f.u.: -20.73
Volume in Å³/f.u.: 105.0

Entry 20:
Compound: As3Rh
Source: Alexandria
Functional: PBE-GGA
Structure: relaxed

a = 3.619 Å, b = 3.619 Å, c = 6.724 Å
α = 74.15°, β = 74.15°, γ = 60.05°
Element x y z (fractional)
As1 0.256 0.256 0.231
As2 0.744 0.744 0.769
As3 0.500 0.500 0.500
Rh1 0.000 0.000 0.000

Properties
E_form in meV/atom: -20
Magnetic moment in Bohr magnetons per cell: 0.00
DFT total energy in eV/f.u.: -21.38
Volume in Å³/f.u.: 72.4

Entry 21:
Compound: KNiS2N
Source: Alexandria
Functional: PBE-GGA
Structure: relaxed

a = 5.107 Å, b = 5.107 Å, c = 3.427 Å
α = 90.00°, β = 90.00°, γ = 90.00°
Element x y z (fractional)
S1 0.500 0.000 0.000
S2 0.000 0.500 0.000
N1 0.000 0.000 0.500
K1 0.500 0.500 0.500
Ni1 0.000 0.000 0.000

Properties
Magnetic moment in Bohr magnetons per cell: 0.57
DFT total energy in eV/f.u.: -21.92
Volume in Å³/f.u.: 89.4

Entry 22:
Compound: MnCuRu2
Source: Alexandria
Functional: PBE-GGA
Structure: relaxed

a = 2.655 Å, b = 3.684 Å, c = 5.316 Å
α = 90.00°, β = 90.00°, γ = 90.00°
Element x y z (fractional)
Mn1 0.500 0.500 0.750
Ru1 0.000 0.000 0.999
Ru2 0.000 0.000 0.501
Cu1 0.500 0.500 0.250

Properties
E_form in meV/atom: 199
Magnetic moment in Bohr magnetons per cell: 1.10
DFT total energy in eV/f.u.: -31.02
Volume in Å³/f.u.: 52.0

Entry 23:
Compound: YCr2Mo
Source: Alexandria
Functional: PBE-GGA
Structure: relaxed

a = 2.824 Å, b = 2.824 Å, c = 8.711 Å
α = 90.00°, β = 90.00°, γ = 110.64°
Element x y z (fractional)
Cr1 0.000 0.000 0.046
Cr2 0.500 0.500 0.234
Y1 0.500 0.500 0.761
Mo1 0.000 0.000 0.458

Properties
E_form in meV/atom: 524
Magnetic moment in Bohr magnetons per cell: 0.00
DFT total energy in eV/f.u.: -34.44
Volume in Å³/f.u.: 65.0

Entry 24:
Compound: HfPaPt2O8
Source: Alexandria
Functional: PBE-GGA
Structure: relaxed

a = 5.966 Å, b = 5.966 Å, c = 5.966 Å
α = 110.36°, β = 110.36°, γ = 107.72°
Element x y z (fractional)
O1 0.901 0.717 0.184
O2 0.534 0.717 0.816
O3 0.283 0.466 0.184
O4 0.693 0.020 0.672
O5 0.980 0.307 0.328
O6 0.980 0.652 0.672
O7 0.348 0.020 0.328
O8 0.283 0.099 0.816
Pt1 0.500 0.500 0.000
Pt2 0.750 0.250 0.500
Hf1 0.250 0.750 0.500
Pa1 0.000 0.000 0.000

Properties
Magnetic moment in Bohr magnetons per cell: 0.83
DFT total energy in eV/f.u.: -92.61
Volume in Å³/f.u.: 163.4

Entry 25:
Compound: PmHo4Th
Source: Alexandria
Functional: PBE-GGA
Structure: relaxed

a = 6.560 Å, b = 8.858 Å, c = 8.750 Å
α = 122.73°, β = 114.93°, γ = 84.71°
Element x y z (fractional)
Pm1 0.568 0.818 0.636
Pm2 0.432 0.182 0.364
Ho1 0.231 0.148 0.627
Ho2 0.769 0.852 0.373
Ho3 0.847 0.259 0.855
Ho4 0.896 0.479 0.627
Ho5 0.508 0.596 0.855
Ho6 0.104 0.521 0.373
Ho7 0.153 0.741 0.145
Ho8 0.492 0.404 0.145
Th1 0.180 0.930 0.860
Th2 0.820 0.070 0.140

Properties
E_form in meV/atom: 48
Magnetic moment in Bohr magnetons per cell: 0.00
DFT total energy in eV/f.u.: -30.19
Volume in Å³/f.u.: 190.8